First-principles (PBE) data for a relaxed CdRh2Cl crystal, as listed in the Alexandria database.

Cell lengths 9.7498, 2.9082, 5.1042 Å; angles 90.00, 112.83, 90.00 degrees
Space group C2/m (No. 12)
One atom of each set of equivalent atoms:
Cd: 0.0000 0.0000 0.0000 x2
Rh: 0.2323 0.0000 0.7494 x4
Cl: 0.0000 0.5000 0.5000 x2

Calculated values
Uncorrected formation energy (eV per atom): 0.26
Energy relative to the lowest polymorph listed for this composition (meV/atom): 247

First-principles (PBE) data for a relaxed Ba2ZnAu2 crystal, as listed in the Alexandria database.

Cell lengths 8.4088, 8.4088, 4.5137 Å; angles 90.00, 90.00, 90.00 degrees
Space group P4/mbm (No. 127)
One atom of each set of equivalent atoms:
Ba: 0.1775 0.3225 0.0000 x4
Zn: 0.0000 0.0000 0.5000 x2
Au: 0.1236 0.6236 0.5000 x4

Calculated values
Formation enthalpy at 0 K (eV per atom): -0.5193